{
  "formula": "Rb2CoNiO4",
  "functional": "PBE+U",
  "state": "relaxed",
  "cell": [[0.000, 5.986, 10.295], [2.522, 0.000, 10.295], [2.522, 5.986, 0.000]],
  "species": ["Rb", "Rb", "Rb", "Rb", "Co", "Co", "Ni", "Ni", "O", "O", "O", "O", "O", "O", "O", "O"],
  "fractional_positions": [[0.049, 0.049, 0.701], [0.299, 0.299, 0.951], [0.701, 0.701, 0.049], [0.951, 0.951, 0.299], [0.375, 0.375, 0.375], [0.625, 0.625, 0.625], [0.125, 0.125, 0.125], [0.875, 0.875, 0.875], [0.010, 0.649, 0.567], [0.274, 0.567, 0.649], [0.351, 0.990, 0.726], [0.433, 0.726, 0.990], [0.567, 0.274, 0.010], [0.649, 0.010, 0.274], [0.726, 0.433, 0.351], [0.990, 0.351, 0.433]],
  "dft_energy_ev_per_cell": -75.61,
  "space_group": "Fddd, No. 70"
}